This record from Alexandria describes a geometry-optimized GeP3Br structure. The functional is PBE-GGA.

Its formation energy from raw total energies is 1485 meV per atom. The value obtained for the volume is 22.73 A^3/atom.

It has space group Pm-3m (No. 221), with a = 4.8436 Å, b = 4.8436 Å, c = 4.8436 Å, α = 90.00°, β = 90.00° and γ = 90.00°. Symmetry generates all atoms from Ge at (0.0000, 0.0000, 0.0000), P at (0.0000, 0.5000, 0.5000) and Br at (0.5000, 0.5000, 0.5000).